No. 1
Density functional theory data (GGA+U) for SrMoIO4 after structural relaxation.

Cell: 7.291 7.291 7.358 Å, 78.47 78.47 56.60°
Fractional positions:
O 0.119 0.531 0.126
O 0.881 0.469 0.874
O 0.510 0.510 0.218
O 0.695 0.695 0.514
O 0.490 0.490 0.782
O 0.531 0.119 0.126
O 0.305 0.305 0.486
O 0.469 0.881 0.874
Mo 0.368 0.368 0.244
Mo 0.632 0.632 0.756
Sr 0.707 0.707 0.176
Sr 0.293 0.293 0.824
I 0.029 0.029 0.313
I 0.971 0.971 0.687

No. 2
Density functional theory data (GGA+U) for SrMoIO2 after structural relaxation.

Cell: 4.553 4.553 6.658 Å, 90.00 90.00 90.00°
Fractional positions:
I 0.000 0.000 0.500
Sr 0.000 0.000 0.000
O 0.000 0.500 0.000
O 0.500 0.000 0.000
Mo 0.500 0.500 0.500

Properties
The value obtained for the energy above the lowest structure with this stoichiometry is 899 meV per atom. Its density of states at the Fermi level is 0.99 states/eV per atom.

No. 3
Density functional theory data (GGA+U) for Sr2Mo2I2O5 after structural relaxation.

Cell: 4.105 4.105 14.981 Å, 97.87 97.87 90.00°
Fractional positions:
O 0.000 0.000 0.000
O 0.420 0.920 0.840
O 0.920 0.420 0.840
O 0.080 0.580 0.160
O 0.580 0.080 0.160
Sr 0.629 0.629 0.258
Sr 0.371 0.371 0.742
I 0.813 0.813 0.627
I 0.187 0.187 0.373
Mo 0.064 0.064 0.127
Mo 0.936 0.936 0.873

Properties
Its density of states at the Fermi level is 0.01 states/eV per atom.

No. 4
Density functional theory data (GGA+U) for TaMoI2O after structural relaxation.

Cell: 5.856 5.856 3.830 Å, 90.00 90.00 90.00°
Fractional positions:
I 0.500 0.000 0.000
I 0.000 0.500 0.000
Ta 0.500 0.500 0.500
Mo 0.000 0.000 0.000
O 0.000 0.000 0.500

Properties
The value obtained for the energy above the lowest structure with this stoichiometry is 724 meV per atom. Its density of states at the Fermi level is 0.70 states/eV per atom.

No. 5
Density functional theory data (GGA+U) for TaMoI2O after structural relaxation.

Cell: 5.838 5.838 3.908 Å, 90.00 90.00 90.00°
Fractional positions:
I 0.500 0.000 0.000
I 0.000 0.500 0.000
Mo 0.500 0.500 0.500
Ta 0.000 0.000 0.000
O 0.000 0.000 0.500

Properties
The value obtained for the energy above the lowest structure with this stoichiometry is 0 meV per atom. Its density of states at the Fermi level is 0.35 states/eV per atom.

No. 6
Density functional theory data (GGA+U) for TbMoIO4 after structural relaxation.

Cell: 6.558 6.558 7.135 Å, 76.57 76.57 67.34°
Fractional positions:
O 0.535 0.535 0.202
O 0.885 0.503 0.852
O 0.497 0.115 0.148
O 0.698 0.698 0.476
O 0.115 0.497 0.148
O 0.503 0.885 0.852
O 0.465 0.465 0.798
O 0.302 0.302 0.524
Mo 0.635 0.635 0.735
Mo 0.365 0.365 0.265
Tb 0.245 0.245 0.867
Tb 0.755 0.755 0.133
I 0.017 0.017 0.247
I 0.983 0.983 0.753

No. 7
Density functional theory data (GGA+U) for TcMoI2O after structural relaxation.

Cell: 5.922 5.922 3.883 Å, 90.00 90.00 90.00°
Fractional positions:
Tc 0.500 0.500 0.500
Mo 0.000 0.000 0.000
I 0.000 0.500 0.000
I 0.500 0.000 0.000
O 0.000 0.000 0.500

Properties
The value obtained for the energy above the lowest structure with this stoichiometry is 326 meV per atom. Its density of states at the Fermi level is 0.63 states/eV per atom.

No. 8
Density functional theory data (GGA+U) for TcMoI2O after structural relaxation.

Cell: 5.676 5.676 3.771 Å, 90.00 90.00 90.00°
Fractional positions:
Mo 0.500 0.500 0.500
I 0.500 0.000 0.000
I 0.000 0.500 0.000
Tc 0.000 0.000 0.000
O 0.000 0.000 0.500

Properties
The value obtained for the energy above the lowest structure with this stoichiometry is 0 meV per atom. Its density of states at the Fermi level is 0.34 states/eV per atom.

We obtain E_tot values of -86.484 -21.142 -65.451 -24.299 -27.917 -95.179 -23.424 -25.056 eV per cell for the records listed above, in that order.
We obtain magnetic moment values of 0.00 5.10 4.00 6.07 6.48 0.00 7.34 4.73 μB/cell for the records listed above, in that order.
We obtain ρ values of 3.91 4.12 4.70 6.91 6.82 5.44 5.66 6.34 g/cm³ for the records listed above, in that order.